Here is crystalline Sc2Be at its relaxed geometry from Alexandria. Energies are from GGA-PBE.

Cell and atoms, written as POSCAR:
```
Sc2Be
1.0
-3.7704 2.4775 0.5224
-2.0878 -2.5118 -3.1557
-0.9275 -1.8517 2.0874
Sc Be
2 1
Direct
0.0000 0.5000 0.5000 Sc
0.5000 0.0000 0.5000 Sc
0.0000 0.0000 0.0000 Be
```

## Properties
Space group   P4/mmm
Polymorph energy (0 for the lowest one)   238 meV per atom
ΔE_f   207 meV/atom
Fermi-level density of states   2.557 states/eV/cell
Calculated total energy   -5.256 eV per atom

Here is crystalline Gd3InP at its relaxed geometry from Alexandria. Energies are from GGA-PBE.

Cell and atoms, written as POSCAR:
```
Gd3InP
1.0
5.2994 0.0000 0.0000
0.0000 5.2994 0.0000
0.0000 0.0000 5.2994
P Gd In
1 3 1
Direct
0.0000 0.0000 0.0000 P
0.0000 0.5000 0.0000 Gd
0.0000 0.0000 0.5000 Gd
0.5000 0.0000 0.0000 Gd
0.5000 0.5000 0.5000 In
```

## Properties
Space group   Pm-3m
ΔE_f   -711 meV/atom
Fermi-level density of states   3.167 states/eV/cell
Calculated total energy   -10.790 eV per atom

Here is crystalline KBaSc2 at its relaxed geometry from Alexandria. Energies are from GGA-PBE.

Cell and atoms, written as POSCAR:
```
KBaSc2
1.0
-5.2447 0.2589 -2.2297
-2.9915 -0.6316 -4.8164
-1.6536 -8.3853 1.4463
Ba K Sc
1 1 2
Direct
0.4926 0.4926 0.5551 Ba
0.2553 0.2553 0.2146 K
0.0109 0.0109 0.9260 Sc
0.7411 0.7411 0.8042 Sc
```

## Properties
Space group   Cm
Polymorph energy (0 for the lowest one)   194 meV per atom
ΔE_f   535 meV/atom
Fermi-level density of states   6.833 states/eV/cell
Calculated total energy   -3.385 eV per atom

Here is crystalline CsTl2Sn2 at its relaxed geometry from Alexandria. Energies are from GGA-PBE.

Cell and atoms, written as POSCAR:
```
CsTl2Sn2
1.0
-7.6772 -0.9684 -6.1335
6.0670 -3.2470 -7.0813
-0.4819 -3.3798 1.1369
Cs Tl Sn
2 4 4
Direct
0.0000 0.0000 0.0000 Cs
0.5000 0.5000 0.0000 Cs
0.1619 0.6619 0.5000 Tl
0.6619 0.8381 0.5000 Tl
0.8381 0.3381 0.5000 Tl
0.3381 0.1619 0.5000 Tl
0.3843 0.8843 0.0000 Sn
0.8843 0.6157 0.0000 Sn
0.6157 0.1157 0.0000 Sn
0.1157 0.3843 0.0000 Sn
```

## Properties
Space group   P4/mbm
Polymorph energy (0 for the lowest one)   89 meV per atom
ΔE_f   -42 meV/atom
Fermi-level density of states   5.311 states/eV/cell
Calculated total energy   -2.760 eV per atom

Here is crystalline AcCd3Hg3 at its relaxed geometry from Alexandria. Energies are from GGA-PBE.

Cell and atoms, written as POSCAR:
```
AcCd3Hg3
1.0
-3.2642 -1.3550 3.5689
-4.7553 -1.9639 -5.0949
6.6045 -7.9977 3.0041
Ac Cd Hg
2 6 6
Direct
0.7500 0.3741 0.7249 Ac
0.2500 0.6259 0.2751 Ac
0.7500 0.8019 0.1012 Cd
0.7500 0.2960 0.3060 Cd
0.7500 0.9187 0.8563 Cd
0.2500 0.1981 0.8988 Cd
0.2500 0.7040 0.6940 Cd
0.2500 0.0813 0.1437 Cd
0.7500 0.9722 0.4017 Hg
0.7500 0.3534 0.0545 Hg
0.7500 0.6941 0.5417 Hg
0.2500 0.0278 0.5983 Hg
0.2500 0.6466 0.9455 Hg
0.2500 0.3059 0.4583 Hg
```

## Properties
Space group   P2_1/m
Polymorph energy (0 for the lowest one)   0 meV per atom
ΔE_f   -250 meV/atom
Fermi-level density of states   4.636 states/eV/cell
Calculated total energy   -1.358 eV per atom

Here is crystalline Tm2CdSi2Pd5 at its relaxed geometry from Alexandria. Energies are from GGA-PBE.

Cell and atoms, written as POSCAR:
```
Tm2CdSi2Pd5
1.0
-0.2061 2.1980 -2.8555
1.6414 -7.7048 -6.0492
-9.7794 -1.6439 -0.5597
Tm Cd Si Pd
4 2 4 10
Direct
0.0000 0.6741 0.1741 Tm
0.0000 0.3259 0.8259 Tm
0.0000 0.1741 0.3259 Tm
0.0000 0.8259 0.6741 Tm
0.0000 0.0000 0.0000 Cd
0.0000 0.5000 0.5000 Cd
0.0000 0.1251 0.6251 Si
0.0000 0.8749 0.3749 Si
0.0000 0.6251 0.8749 Si
0.0000 0.3749 0.1251 Si
0.5000 0.2175 0.0627 Pd
0.5000 0.7825 0.9373 Pd
0.5000 0.0627 0.7825 Pd
0.5000 0.7175 0.4373 Pd
0.5000 0.9373 0.2175 Pd
0.5000 0.2825 0.5627 Pd
0.5000 0.5627 0.7175 Pd
0.5000 0.4373 0.2825 Pd
0.5000 0.5000 0.0000 Pd
0.5000 0.0000 0.5000 Pd
```

## Properties
Space group   P4/mbm
Fermi-level density of states   15.669 states/eV/cell
Formation energy without anion corrections   -733 meV/atom
Calculated total energy   -5.399 eV per atom

Here is crystalline TbPm2SmY5 at its relaxed geometry from Alexandria. Energies are from GGA-PBE.

Cell and atoms, written as POSCAR:
```
TbPm2SmY5
1.0
8.6747 0.0000 0.0000
0.0000 8.6747 0.0000
-4.3373 -4.3373 7.8551
Tb Pm Sm Y
2 4 2 10
Direct
0.2500 0.2500 0.5000 Tb
0.7500 0.7500 0.5000 Tb
0.1176 0.3824 0.0000 Pm
0.6176 0.1176 0.0000 Pm
0.3824 0.8824 0.0000 Pm
0.8824 0.6176 0.0000 Pm
0.2500 0.7500 0.5000 Sm
0.7500 0.2500 0.5000 Sm
0.9297 0.4297 0.2761 Y
0.6536 0.1536 0.7239 Y
0.0703 0.5703 0.7239 Y
0.1536 0.0703 0.7239 Y
0.5703 0.6536 0.7239 Y
0.8464 0.9297 0.2761 Y
0.4297 0.3464 0.2761 Y
0.3464 0.8464 0.2761 Y
0.5000 0.5000 0.0000 Y
0.0000 0.0000 0.0000 Y
```

## Properties
Space group   I4/mcm
ΔE_f   249 meV/atom
Fermi-level density of states   20.907 states/eV/cell
Calculated total energy   -5.436 eV per atom

Here is crystalline ZrNiI2 at its relaxed geometry from Alexandria. Energies are from GGA-PBE.

Cell and atoms, written as POSCAR:
```
ZrNiI2
1.0
6.4791 0.0000 0.0000
0.0000 6.4791 0.0000
3.2396 3.2396 5.5516
I Ni Zr
4 2 2
Direct
0.5759 0.1250 0.2500 I
0.1741 0.6250 0.2500 I
0.3750 0.4241 0.7500 I
0.8750 0.8259 0.7500 I
0.5000 0.5000 0.0000 Ni
0.2500 0.7500 0.5000 Ni
0.0000 0.0000 0.0000 Zr
0.7500 0.2500 0.5000 Zr
```

## Properties
Space group   I-42d
Polymorph energy (0 for the lowest one)   0 meV per atom
Fermi-level density of states   4.333 states/eV/cell
Formation energy without anion corrections   222 meV/atom
Calculated total energy   -4.136 eV per atom

Here is crystalline PmMg11Ni at its relaxed geometry from Alexandria. Energies are from GGA-PBE.

Cell and atoms, written as POSCAR:
```
PmMg11Ni
1.0
5.1682 -0.0480 2.1532
2.4795 7.1430 1.0330
-0.1876 -0.0240 7.7294
Pm Mg Ni
1 11 1
Direct
0.0000 0.0000 0.0000 Pm
0.3044 0.2218 0.2031 Mg
0.6956 0.7782 0.7969 Mg
0.4925 0.7782 0.2031 Mg
0.5075 0.2218 0.7969 Mg
0.3584 0.6378 0.6634 Mg
0.6417 0.3622 0.3366 Mg
0.9783 0.3622 0.6634 Mg
0.0217 0.6378 0.3366 Mg
0.0000 0.5000 0.0000 Mg
0.5000 0.0000 0.5000 Mg
0.0000 0.0000 0.5000 Mg
0.5000 0.5000 0.0000 Ni
```

## Properties
Space group   C2/m
ΔE_f   -57 meV/atom
Fermi-level density of states   5.792 states/eV/cell
Calculated total energy   -2.216 eV per atom

Here is crystalline Ca3Mg at its relaxed geometry from Alexandria. Energies are from GGA-PBE.

Cell and atoms, written as POSCAR:
```
Ca3Mg
1.0
-5.4770 -9.8470 3.7150
-1.9640 -11.3014 3.0302
-2.7247 -9.6013 6.4150
Ca Mg
3 1
Direct
0.0092 0.0092 0.0092 Ca
0.2500 0.2500 0.2500 Ca
0.4908 0.4908 0.4908 Ca
0.7500 0.7500 0.7500 Mg
```

## Properties
Space group   R-3m
ΔE_f   33 meV/atom
Fermi-level density of states   3.819 states/eV/cell
Calculated total energy   -1.867 eV per atom

Here is crystalline TlPb at its relaxed geometry from Alexandria. Energies are from GGA-PBE.

Cell and atoms, written as POSCAR:
```
TlPb
1.0
4.5461 0.0000 0.0000
2.2730 3.9370 0.0000
2.2730 1.3123 3.7119
Pb Tl
1 1
Direct
0.0000 0.0000 0.0000 Pb
0.5000 0.5000 0.5000 Tl
```

## Properties
Space group   Fm-3m
ΔE_f   200 meV/atom
Fermi-level density of states   0.685 states/eV/cell
Calculated total energy   -2.837 eV per atom

Here is crystalline La4Sb3 at its relaxed geometry from Alexandria. Energies are from GGA-PBE.

Cell and atoms, written as POSCAR:
```
La4Sb3
1.0
-3.7766 0.2219 3.9754
1.2443 -1.7066 5.0651
1.9386 7.9764 5.1843
La Sb
4 3
Direct
0.3694 0.3694 0.8918 La
0.1189 0.1189 0.6433 La
0.8811 0.8811 0.3567 La
0.6306 0.6306 0.1082 La
0.7603 0.7603 0.7190 Sb
0.2397 0.2397 0.2810 Sb
0.0000 0.0000 0.0000 Sb
```

## Properties
Space group   R-3m
Polymorph energy (0 for the lowest one)   171 meV per atom
Fermi-level density of states   6.230 states/eV/cell
Formation energy without anion corrections   -970 meV/atom
Calculated total energy   -5.553 eV per atom